The following is a PBE-GGA calculation of Ga2Ni2Pt7 after structural relaxation, from the Alexandria database.

a b c (Å): 5.7137 5.7137 5.7812
angles (deg): 90.00 90.00 95.19
With the nearest neighbours (Å) after each atom.
Element x y z (fractional)
Ga: 0.1996 0.1996 0.0000  6 Pt 2.55-2.66
Ga: 0.8004 0.8004 0.0000  6 Pt 2.55-2.66
Ni: 0.2829 0.7171 0.5000  7 Pt 2.39-2.46
Ni: 0.7171 0.2829 0.5000  7 Pt 2.39-2.46
Pt: 0.0000 0.0000 0.5000  2 Ni 2.39
Pt: 0.0000 0.5000 0.2401  2 Ni 2.46, 2 Ga 2.55
Pt: 0.0000 0.5000 0.7599  2 Ni 2.46, 2 Ga 2.55
Pt: 0.5000 0.0000 0.2401  2 Ni 2.46, 2 Ga 2.55
Pt: 0.5000 0.0000 0.7599  2 Ni 2.46, 2 Ga 2.55
Pt: 0.5000 0.5000 0.2269  2 Ni 2.42, 1 Pt 2.62, 2 Ga 2.66
Pt: 0.5000 0.5000 0.7731  2 Ni 2.42, 1 Pt 2.62, 2 Ga 2.66

Energy above the lowest structure with this stoichiometry = 163.6 meV/atom
Total DFT energy (no corrections) = -0.19708 hartree per atom
Energy of formation = 83 meV per atom

=====

The following is a PBE-GGA calculation of Ga2NiPt4 after structural relaxation, from the Alexandria database.

a b c (Å): 5.6344 5.6344 4.8326
angles (deg): 97.77 97.77 49.14
With the nearest neighbours (Å) after each atom.
Element x y z (fractional)
Ga: 0.1514 0.1514 0.0978  7 Pt 2.54-2.83
Ga: 0.8486 0.8486 0.9022  7 Pt 2.54-2.83
Ni: 0.5000 0.5000 0.5000  4 Pt 2.34-2.42
Pt: 0.0000 0.0000 0.5000  2 Ni 2.34
Pt: 0.2660 0.2660 0.6672  4 Ga 2.54-2.83, 1 Ni 2.64, 4 Pt 2.68-2.84
Pt: 0.5000 0.5000 0.0000  2 Ni 2.42, 2 Pt 2.68
Pt: 0.7340 0.7340 0.3328  4 Ga 2.54-2.83, 1 Ni 2.64, 4 Pt 2.68-2.84

Total DFT energy (no corrections) = -0.19381 hartree per atom
Energy of formation = -131 meV per atom

=====

The following is a PBE-GGA calculation of Ga2Ni2Pt after structural relaxation, from the Alexandria database.

a b c (Å): 6.8835 6.8835 2.8144
angles (deg): 90.00 90.00 90.00
With the nearest neighbours (Å) after each atom.
Element x y z (fractional)
Ga: 0.1519 0.3481 0.0000  6 Ni 2.44-2.47, 2 Pt 2.61
Ga: 0.3481 0.8481 0.0000  6 Ni 2.44-2.47, 2 Pt 2.61
Ga: 0.6519 0.1519 0.0000  6 Ni 2.44-2.47, 2 Pt 2.61
Ga: 0.8481 0.6519 0.0000  6 Ni 2.44-2.47, 2 Pt 2.61
Ni: 0.1430 0.6430 0.5000  6 Ga 2.44-2.47
Ni: 0.3570 0.1430 0.5000  6 Ga 2.44-2.47
Ni: 0.6430 0.8570 0.5000  6 Ga 2.44-2.47
Ni: 0.8570 0.3570 0.5000  6 Ga 2.44-2.47
Pt: 0.0000 0.0000 0.0000  4 Ga 2.61, 2 Pt 2.81
Pt: 0.5000 0.5000 0.0000  4 Ga 2.61, 2 Pt 2.81

Energy above the lowest structure with this stoichiometry = 0.0 meV/atom
Total DFT energy (no corrections) = -0.18769 hartree per atom
Energy of formation = -376 meV per atom

=====

The following is a PBE-GGA calculation of Ga4Ni9Pt11 after structural relaxation, from the Alexandria database.

a b c (Å): 10.0510 10.0510 3.5966
angles (deg): 90.00 90.00 112.09
With the nearest neighbours (Å) after each atom.
Element x y z (fractional)
Ga: 0.0549 0.2465 0.0000  2 Ni 2.33-2.57, 2 Pt 2.50
Ga: 0.2465 0.0549 0.0000  2 Ni 2.33-2.57, 2 Pt 2.50
Ga: 0.7535 0.9451 0.0000  2 Ni 2.33-2.57, 2 Pt 2.50
Ga: 0.9451 0.7535 0.0000  2 Ni 2.33-2.57, 2 Pt 2.50
Ni: 0.0000 0.0000 0.0000  4 Ga 2.33
Ni: 0.1319 0.6355 0.0000  1 Ga 2.57, 2 Ni 2.61-2.81, 8 Pt 2.62-2.74
Ni: 0.3001 0.4660 0.0000  1 Ga 2.62, 8 Pt 2.62-2.74, 3 Ni 2.63-2.81
Ni: 0.3645 0.8681 0.0000  1 Ga 2.57, 2 Ni 2.61-2.81, 8 Pt 2.62-2.74
Ni: 0.4660 0.3001 0.0000  1 Ga 2.62, 8 Pt 2.62-2.74, 3 Ni 2.63-2.81
Ni: 0.5340 0.6999 0.0000  1 Ga 2.62, 8 Pt 2.62-2.74, 3 Ni 2.63-2.81
Ni: 0.6355 0.1319 0.0000  1 Ga 2.57, 2 Ni 2.61-2.81, 8 Pt 2.62-2.74
Ni: 0.6999 0.5340 0.0000  1 Ga 2.62, 8 Pt 2.62-2.74, 3 Ni 2.63-2.81
Ni: 0.8681 0.3645 0.0000  1 Ga 2.57, 2 Ni 2.61-2.81, 8 Pt 2.62-2.74
Pt: 0.0884 0.4293 0.5000  2 Ga 2.50, 6 Ni 2.65-2.73, 2 Pt 2.66-2.71
Pt: 0.1525 0.8475 0.5000  4 Ga 2.64, 4 Ni 2.74, 2 Pt 2.92
Pt: 0.2463 0.2463 0.5000  4 Ga 2.63, 4 Ni 2.74, 3 Pt 2.85
Pt: 0.3311 0.6689 0.5000  8 Ni 2.62-2.65, 3 Pt 2.71-2.82
Pt: 0.4293 0.0884 0.5000  2 Ga 2.50, 6 Ni 2.65-2.73, 2 Pt 2.66-2.71
Pt: 0.5000 0.5000 0.5000  8 Ni 2.62, 4 Pt 2.82-2.85
Pt: 0.5707 0.9116 0.5000  2 Ga 2.50, 6 Ni 2.65-2.73, 2 Pt 2.66-2.71
Pt: 0.6689 0.3311 0.5000  8 Ni 2.62-2.65, 3 Pt 2.71-2.82
Pt: 0.7537 0.7537 0.5000  4 Ga 2.63, 4 Ni 2.74, 3 Pt 2.85
Pt: 0.8475 0.1525 0.5000  4 Ga 2.64, 4 Ni 2.74, 2 Pt 2.92
Pt: 0.9116 0.5707 0.5000  2 Ga 2.50, 6 Ni 2.65-2.73, 2 Pt 2.66-2.71

Total DFT energy (no corrections) = -0.20826 hartree per atom
Energy of formation = -226 meV per atom

=====

The following is a PBE-GGA calculation of Ga2Ni4Pt after structural relaxation, from the Alexandria database.

a b c (Å): 9.0347 9.0347 9.0347
angles (deg): 163.06 155.37 30.04
With the nearest neighbours (Å) after each atom.
Element x y z (fractional)
Ga: 0.0943 0.0943 0.0000  6 Ni 2.52-2.72, 2 Ga 2.66
Ga: 0.9057 0.9057 0.0000  6 Ni 2.52-2.72, 2 Ga 2.66
Ni: 0.2305 0.7305 0.5000  10 Ni 2.41-2.66
Ni: 0.3522 0.3522 0.0000  6 Ni 2.41-2.66, 4 Ga 2.52, 1 Pt 2.58
Ni: 0.6478 0.6478 0.0000  6 Ni 2.41-2.66, 4 Ga 2.52, 1 Pt 2.58
Ni: 0.7695 0.2695 0.5000  10 Ni 2.41-2.66
Pt: 0.5000 0.5000 0.0000  2 Ni 2.58, 2 Pt 2.66, 8 Ga 2.86

Energy above the lowest structure with this stoichiometry = 9.5 meV/atom
Total DFT energy (no corrections) = -0.19202 hartree per atom
Energy of formation = -194 meV per atom

=====

The following is a PBE-GGA calculation of Ga2Ni2Pt7 after structural relaxation, from the Alexandria database.

a b c (Å): 5.4862 5.4862 6.3005
angles (deg): 100.72 100.72 78.12
With the nearest neighbours (Å) after each atom.
Element x y z (fractional)
Ga: 0.2135 0.2135 0.0497  7 Pt 2.50-2.68
Ga: 0.7865 0.7865 0.9503  7 Pt 2.50-2.68
Ni: 0.3326 0.6674 0.5000  1 Ni 2.31, 2 Pt 2.55
Ni: 0.6674 0.3326 0.5000  1 Ni 2.31, 2 Pt 2.55
Pt: 0.0197 0.0197 0.2916  2 Ga 2.50-2.55, 2 Ni 2.67, 3 Pt 2.73-2.75
Pt: 0.0740 0.4696 0.7111  2 Ni 2.55-2.61, 2 Ga 2.56-2.68, 5 Pt 2.69-2.83
Pt: 0.4696 0.0740 0.7111  2 Ni 2.55-2.61, 2 Ga 2.56-2.68, 5 Pt 2.69-2.83
Pt: 0.5000 0.5000 0.0000  2 Ga 2.53, 4 Pt 2.70
Pt: 0.5304 0.9260 0.2889  2 Ni 2.55-2.61, 2 Ga 2.56-2.68, 5 Pt 2.69-2.83
Pt: 0.9260 0.5304 0.2889  2 Ni 2.55-2.61, 2 Ga 2.56-2.68, 5 Pt 2.69-2.83
Pt: 0.9803 0.9803 0.7084  2 Ga 2.50-2.55, 2 Ni 2.67, 3 Pt 2.73-2.75

Energy above the lowest structure with this stoichiometry = 0.0 meV/atom
Total DFT energy (no corrections) = -0.20309 hartree per atom
Energy of formation = -81 meV per atom

=====

The following is a PBE-GGA calculation of GaNi2Pt6 after structural relaxation, from the Alexandria database.

a b c (Å): 8.1230 8.1230 3.9553
angles (deg): 90.00 90.00 90.00
With the nearest neighbours (Å) after each atom.
Element x y z (fractional)
Ga: 0.0000 0.0000 0.0000  8 Pt 2.63-2.64, 4 Ni 2.85
Ga: 0.5000 0.5000 0.5000  8 Pt 2.63-2.64, 4 Ni 2.85
Ni: 0.1784 0.1784 0.5000  10 Pt 2.68-2.79, 2 Ga 2.85
Ni: 0.3216 0.6784 0.0000  10 Pt 2.68-2.79, 2 Ga 2.85
Ni: 0.6784 0.3216 0.0000  10 Pt 2.68-2.79, 2 Ga 2.85
Ni: 0.8216 0.8216 0.5000  10 Pt 2.68-2.79, 2 Ga 2.85
Pt: 0.0082 0.3252 0.0000  1 Ga 2.64, 3 Ni 2.68-2.69, 8 Pt 2.75-2.84
Pt: 0.1503 0.8497 0.5000  2 Ga 2.63, 4 Ni 2.68-2.79, 6 Pt 2.75-2.78
Pt: 0.1748 0.5082 0.5000  1 Ga 2.64, 3 Ni 2.68-2.69, 8 Pt 2.75-2.84
Pt: 0.3252 0.0082 0.0000  1 Ga 2.64, 3 Ni 2.68-2.69, 8 Pt 2.75-2.84
Pt: 0.3497 0.3497 0.0000  2 Ga 2.63, 4 Ni 2.68-2.79, 6 Pt 2.75-2.78
Pt: 0.4918 0.8252 0.5000  1 Ga 2.64, 3 Ni 2.68-2.69, 8 Pt 2.75-2.84
Pt: 0.5082 0.1748 0.5000  1 Ga 2.64, 3 Ni 2.68-2.69, 8 Pt 2.75-2.84
Pt: 0.6503 0.6503 0.0000  2 Ga 2.63, 4 Ni 2.68-2.79, 6 Pt 2.75-2.78
Pt: 0.6748 0.9918 0.0000  1 Ga 2.64, 3 Ni 2.68-2.69, 8 Pt 2.75-2.84
Pt: 0.8252 0.4918 0.5000  1 Ga 2.64, 3 Ni 2.68-2.69, 8 Pt 2.75-2.84
Pt: 0.8497 0.1503 0.5000  2 Ga 2.63, 4 Ni 2.68-2.79, 6 Pt 2.75-2.78
Pt: 0.9918 0.6748 0.0000  1 Ga 2.64, 3 Ni 2.68-2.69, 8 Pt 2.75-2.84

Energy above the lowest structure with this stoichiometry = 0.0 meV/atom
Total DFT energy (no corrections) = -0.21676 hartree per atom
Energy of formation = -250 meV per atom

=====

The following is a PBE-GGA calculation of Ga6NiPt3 after structural relaxation, from the Alexandria database.

a b c (Å): 6.8339 5.8959 9.7484
angles (deg): 90.00 120.56 90.00
With the nearest neighbours (Å) after each atom.
Element x y z (fractional)
Ga: 0.1024 0.1350 0.4311  1 Ni 2.46, 4 Pt 2.57-2.67
Ga: 0.1024 0.3650 0.9311  1 Ni 2.46, 4 Pt 2.57-2.67
Ga: 0.2302 0.6630 0.3972  1 Ni 2.45, 2 Pt 2.54-2.55, 1 Ga 2.73
Ga: 0.2302 0.8370 0.8972  1 Ni 2.45, 2 Pt 2.54-2.55, 1 Ga 2.73
Ga: 0.3972 0.5518 0.7096  1 Ni 2.45, 3 Pt 2.55-2.61, 1 Ga 2.73
Ga: 0.3972 0.9482 0.2096  1 Ni 2.45, 3 Pt 2.55-2.61, 1 Ga 2.73
Ga: 0.6028 0.0518 0.7904  1 Ni 2.45, 3 Pt 2.55-2.61, 1 Ga 2.73
Ga: 0.6028 0.4482 0.2904  1 Ni 2.45, 3 Pt 2.55-2.61, 1 Ga 2.73
Ga: 0.7698 0.1630 0.1028  1 Ni 2.45, 2 Pt 2.54-2.55, 1 Ga 2.73
Ga: 0.7698 0.3370 0.6028  1 Ni 2.45, 2 Pt 2.54-2.55, 1 Ga 2.73
Ga: 0.8976 0.6350 0.0689  1 Ni 2.46, 4 Pt 2.57-2.67
Ga: 0.8976 0.8650 0.5689  1 Ni 2.46, 4 Pt 2.57-2.67
Ni: 0.0000 0.0000 0.0000  6 Ga 2.45-2.46, 2 Pt 2.72
Ni: 0.0000 0.5000 0.5000  6 Ga 2.45-2.46, 2 Pt 2.72
Pt: 0.2087 0.1771 0.7282  7 Ga 2.55-2.77, 1 Ni 2.72
Pt: 0.2087 0.3229 0.2282  7 Ga 2.55-2.77, 1 Ni 2.72
Pt: 0.5000 0.0000 0.5000  6 Ga 2.54-2.57
Pt: 0.5000 0.5000 0.0000  6 Ga 2.54-2.57
Pt: 0.7913 0.6771 0.7718  7 Ga 2.55-2.77, 1 Ni 2.72
Pt: 0.7913 0.8229 0.2718  7 Ga 2.55-2.77, 1 Ni 2.72

Total DFT energy (no corrections) = -0.17150 hartree per atom
Energy of formation = -460 meV per atom

=====

The following is a PBE-GGA calculation of Ga2NiPt2 after structural relaxation, from the Alexandria database.

a b c (Å): 7.3134 7.3134 2.8538
angles (deg): 90.00 90.00 90.00
With the nearest neighbours (Å) after each atom.
Element x y z (fractional)
Ga: 0.1586 0.3414 0.0000  6 Pt 2.50-2.63
Ga: 0.3414 0.8414 0.0000  6 Pt 2.50-2.63
Ga: 0.6586 0.1586 0.0000  6 Pt 2.50-2.63
Ga: 0.8414 0.6586 0.0000  6 Pt 2.50-2.63
Ni: 0.0000 0.0000 0.5000  4 Pt 2.81, 2 Ni 2.85, 8 Ga 3.10
Ni: 0.5000 0.5000 0.5000  4 Pt 2.81, 2 Ni 2.85, 8 Ga 3.10
Pt: 0.1426 0.6426 0.5000  6 Ga 2.50-2.63
Pt: 0.3574 0.1426 0.5000  6 Ga 2.50-2.63
Pt: 0.6426 0.8574 0.5000  6 Ga 2.50-2.63
Pt: 0.8574 0.3574 0.5000  6 Ga 2.50-2.63

Energy above the lowest structure with this stoichiometry = 0.0 meV/atom
Total DFT energy (no corrections) = -0.18892 hartree per atom
Energy of formation = -357 meV per atom